[1]
A plane-wave DFT calculation with PBE-GGA was carried out for a geometry-optimized ScCuIr2 structure.

a b c (Å): 4.682 4.682 4.838
angles (deg): 79.14 79.14 35.70
Positions (direct):
Cu 0.250 0.250 0.250
Ir 0.998 0.998 0.019
Ir 0.502 0.502 0.481
Sc 0.750 0.750 0.750

Properties
Its symmetry is No. 12. Its formation energy is -0.38 eV/atom. For the total energy, the calculation gives -7.418 eV/atom.

[2]
A plane-wave DFT calculation with PBE-GGA was carried out for a geometry-optimized CsKTl2As2 structure.

a b c (Å): 5.014 5.014 10.316
angles (deg): 90.00 90.00 120.00
Positions (direct):
Cs 0.000 0.000 0.000
K 0.000 0.000 0.500
Tl 0.667 0.333 0.278
Tl 0.333 0.667 0.722
As 0.667 0.333 0.727
As 0.333 0.667 0.273

Properties
Its symmetry is No. 164. Its formation energy is -0.19 eV/atom. For the total energy, the calculation gives -2.858 eV/atom.

[3]
A plane-wave DFT calculation with PBE-GGA was carried out for a geometry-optimized Cs3RbSr structure.

a b c (Å): 8.651 8.651 8.651
angles (deg): 90.00 90.00 90.00
Positions (direct):
Cs 0.000 0.500 0.000
Cs 0.000 0.000 0.500
Cs 0.500 0.000 0.000
Sr 0.000 0.000 0.000
Rb 0.500 0.500 0.500

Properties
Its symmetry is No. 221. As for the energy above the most stable polymorph in this dataset: 0 meV per atom. Its formation energy is 0.30 eV/atom. For the total energy, the calculation gives -0.745 eV/atom.

[4]
A plane-wave DFT calculation with PBE-GGA was carried out for a geometry-optimized ZnNiCl structure.

a b c (Å): 5.699 5.699 5.699
angles (deg): 149.33 149.33 43.92
Positions (direct):
Cl 0.975 0.975 0.000
Ni 0.325 0.325 0.000
Zn 0.700 0.700 0.000

Properties
The uncorrected formation energy is 4.2 kJ/mol of atoms. Its symmetry is No. 107. As for the energy above the most stable polymorph in this dataset: 104 meV per atom. For the total energy, the calculation gives -2.924 eV/atom.

[5]
A plane-wave DFT calculation with PBE-GGA was carried out for a geometry-optimized Ce2Zn7Ag structure.

a b c (Å): 4.238 4.238 10.806
angles (deg): 90.00 90.00 90.00
Positions (direct):
Ce 0.500 0.000 0.740
Ce 0.000 0.500 0.260
Zn 0.000 0.500 0.857
Zn 0.500 0.000 0.370
Zn 0.500 0.000 0.143
Zn 0.000 0.500 0.630
Zn 0.000 0.000 0.500
Zn 0.000 0.000 0.000
Zn 0.500 0.500 0.500
Ag 0.500 0.500 0.000

Properties
Its symmetry is No. 115. Its formation energy is -0.22 eV/atom. For the total energy, the calculation gives -2.583 eV/atom.

[6]
A plane-wave DFT calculation with PBE-GGA was carried out for a geometry-optimized Ti5Zn2Pd12 structure.

a b c (Å): 5.351 7.831 8.712
angles (deg): 107.30 90.00 109.98
Positions (direct):
Ti 0.331 0.662 0.672
Ti 0.355 0.710 0.155
Ti 0.000 0.000 0.500
Ti 0.645 0.290 0.845
Ti 0.669 0.338 0.328
Zn 0.748 0.000 0.000
Zn 0.252 0.000 0.000
Pd 0.089 0.178 0.281
Pd 0.053 0.619 0.902
Pd 0.566 0.619 0.902
Pd 0.081 0.664 0.408
Pd 0.583 0.664 0.408
Pd 0.492 0.985 0.646
Pd 0.508 0.015 0.354
Pd 0.919 0.336 0.592
Pd 0.417 0.336 0.592
Pd 0.947 0.381 0.098
Pd 0.434 0.381 0.098
Pd 0.911 0.822 0.719

Properties
Its symmetry is No. 12. Its formation energy is -0.33 eV/atom. For the total energy, the calculation gives -5.818 eV/atom.